{"formula": "TbTm2Os", "functional": "PBE-GGA", "state": "relaxed", "lattice_angstrom": [[3.3695, 0.0000, 0.0000], [0.0000, 3.3695, 0.0000], [0.0000, 0.0000, 9.0681]], "species": ["Tb", "Os", "Tm", "Tm"], "fractional_positions": [[0.5000, 0.5000, 0.5000], [0.5000, 0.5000, 0.0000], [0.0000, 0.0000, 0.1799], [0.0000, 0.0000, 0.8201]], "n_ef_per_ev_atom": 0.705, "delta_e_f_ev_per_atom": -0.174, "final_energy_ev_per_atom": -6.3747, "magnetic_moment_mub_per_atom": 0.000}

{"formula": "Tb4TmOs2", "functional": "PBE-GGA", "state": "relaxed", "lattice_angstrom": [[6.2881, 0.0000, 0.0000], [0.0000, 7.2911, -2.9667], [0.0000, -0.0077, 7.8597]], "species": ["Tb", "Tb", "Tb", "Tb", "Tb", "Tb", "Tb", "Tb", "Os", "Os", "Os", "Os", "Tm", "Tm"], "fractional_positions": [[0.0020, 0.5819, 0.2383], [0.5020, 0.4181, 0.7617], [0.2500, 0.9787, 0.6220], [0.7500, 0.7548, 0.6762], [0.4980, 0.5819, 0.2383], [0.7500, 0.0213, 0.3780], [0.9980, 0.4181, 0.7617], [0.2500, 0.2452, 0.3238], [0.2500, 0.6225, 0.5878], [0.7500, 0.3775, 0.4122], [0.7500, 0.7492, 0.0239], [0.2500, 0.2508, 0.9761], [0.2500, 0.8406, 0.9687], [0.7500, 0.1594, 0.0313]], "n_ef_per_ev_atom": 0.934, "delta_e_f_ev_per_atom": -0.150, "final_energy_ev_per_atom": -6.6428, "magnetic_moment_mub_per_atom": 0.000}

{"formula": "TbTm2Os", "functional": "PBE-GGA", "state": "relaxed", "lattice_angstrom": [[3.9539, 0.0006, 0.0000], [-1.9757, 5.9065, 0.0000], [0.0000, 0.0000, 8.8995]], "species": ["Os", "Os", "Tb", "Tb", "Tm", "Tm", "Tm", "Tm"], "fractional_positions": [[0.2571, 0.5140, 0.2500], [0.7429, 0.4860, 0.7500], [0.9265, 0.8530, 0.2500], [0.0735, 0.1470, 0.7500], [0.6462, 0.2922, 0.4345], [0.3538, 0.7078, 0.5655], [0.3538, 0.7078, 0.9345], [0.6462, 0.2922, 0.0655]], "n_ef_per_ev_atom": 0.893, "delta_e_f_ev_per_atom": -0.271, "final_energy_ev_per_atom": -6.4713, "magnetic_moment_mub_per_atom": 0.000}

{"formula": "TbTm2Os", "functional": "PBE-GGA", "state": "relaxed", "lattice_angstrom": [[6.2668, 0.0000, 0.0000], [0.0000, 7.3951, 0.0000], [0.0000, 0.0000, 8.9161]], "species": ["Tm", "Tm", "Tm", "Tm", "Tm", "Tm", "Tm", "Tm", "Os", "Os", "Os", "Os", "Tb", "Tb", "Tb", "Tb"], "fractional_positions": [[0.6639, 0.8260, 0.5627], [0.8361, 0.3260, 0.9373], [0.6639, 0.8260, 0.9373], [0.1639, 0.6740, 0.4373], [0.8361, 0.3260, 0.5627], [0.3361, 0.1740, 0.0627], [0.3361, 0.1740, 0.4373], [0.1639, 0.6740, 0.0627], [0.4562, 0.8820, 0.2500], [0.9562, 0.6180, 0.7500], [0.0438, 0.3820, 0.2500], [0.5438, 0.1180, 0.7500], [0.6261, 0.5381, 0.2500], [0.1261, 0.9619, 0.7500], [0.3739, 0.4619, 0.7500], [0.8739, 0.0381, 0.2500]], "n_ef_per_ev_atom": 0.834, "delta_e_f_ev_per_atom": -0.289, "final_energy_ev_per_atom": -6.4899, "magnetic_moment_mub_per_atom": 0.000}

{"formula": "TbTm6Os2", "functional": "PBE-GGA", "state": "relaxed", "lattice_angstrom": [[3.7855, 0.0000, 1.0701], [1.6021, 7.3662, 1.5631], [-0.3877, 0.1101, 8.6020]], "species": ["Os", "Os", "Tb", "Tm", "Tm", "Tm", "Tm", "Tm", "Tm"], "fractional_positions": [[0.3950, 0.4516, 0.7585], [0.6050, 0.5484, 0.2415], [0.0000, 0.5000, 0.5000], [0.3092, 0.8253, 0.5562], [0.0107, 0.1689, 0.8096], [0.7253, 0.6592, 0.8901], [0.6908, 0.1747, 0.4438], [0.2747, 0.3408, 0.1099], [0.9893, 0.8311, 0.1904]], "n_ef_per_ev_atom": 0.860, "delta_e_f_ev_per_atom": -0.158, "final_energy_ev_per_atom": -6.1485, "magnetic_moment_mub_per_atom": 0.000}

{"formula": "Tb2Tm3Os2", "functional": "PBE-GGA", "state": "relaxed", "lattice_angstrom": [[-0.8706, -2.0256, -3.2833], [-1.9581, -3.2533, 4.9082], [-5.4240, 5.8379, -2.1634]], "species": ["Tm", "Tm", "Tm", "Tb", "Tb", "Os", "Os"], "fractional_positions": [[0.5000, 0.0000, 0.0000], [0.6261, 0.2521, 0.4300], [0.3739, 0.7479, 0.5700], [0.1631, 0.3261, 0.8112], [0.8369, 0.6739, 0.1888], [0.8250, 0.6499, 0.7839], [0.1750, 0.3501, 0.2161]], "n_ef_per_ev_atom": 0.693, "delta_e_f_ev_per_atom": -0.275, "final_energy_ev_per_atom": -6.7226, "magnetic_moment_mub_per_atom": 0.000}

{"formula": "TbTmOs4", "functional": "PBE-GGA", "state": "relaxed", "lattice_angstrom": [[-3.4618, -4.0725, -0.1007], [-1.0091, -2.5373, -4.5959], [1.7655, -4.9912, -0.7413]], "species": ["Os", "Os", "Os", "Os", "Tm", "Tb"], "fractional_positions": [[0.6249, 0.6249, 0.6249], [0.1253, 0.6249, 0.6249], [0.6249, 0.1253, 0.6249], [0.6249, 0.6249, 0.1253], [0.2500, 0.2500, 0.2500], [0.0000, 0.0000, 0.0000]], "n_ef_per_ev_atom": 0.945, "delta_e_f_ev_per_atom": -0.287, "final_energy_ev_per_atom": -9.2902, "magnetic_moment_mub_per_atom": 0.000}

{"formula": "Tb2UOs2", "functional": "PBE-GGA", "state": "relaxed", "lattice_angstrom": [[-5.0461, -0.0258, -2.7370], [-4.1312, -3.5168, 1.8762], [-4.0097, 5.0850, 4.6432]], "species": ["Tb", "Tb", "Tb", "Tb", "Os", "Os", "Os", "Os", "U", "U"], "fractional_positions": [[0.5149, 0.7833, 0.8499], [0.2167, 0.4851, 0.6501], [0.4851, 0.2167, 0.1501], [0.7833, 0.5149, 0.3499], [0.7353, 0.0013, 0.5068], [0.9987, 0.2647, 0.9932], [0.2647, 0.9987, 0.4932], [0.0013, 0.7353, 0.0068], [0.8613, 0.1387, 0.7500], [0.1387, 0.8613, 0.2500]], "n_ef_per_ev_atom": 1.493, "delta_e_f_ev_per_atom": -0.229, "final_energy_ev_per_atom": -8.8311, "magnetic_moment_mub_per_atom": 0.254}